Tm6Si2Sb | PBE | relaxed

Unit cell a=8.356 b=8.356 c=8.356 alpha=105.02 beta=111.61 gamma=111.87
Atoms (fractional coordinates):
1 Tm 0.537 0.723 0.814
2 Tm 0.463 0.277 0.186
3 Tm 0.091 0.277 0.814
4 Tm 0.909 0.723 0.186
5 Tm 0.794 0.755 0.549
6 Tm 0.206 0.245 0.451
7 Tm 0.206 0.755 0.962
8 Tm 0.794 0.245 0.038
9 Tm 0.704 0.382 0.678
10 Tm 0.296 0.618 0.322
11 Tm 0.296 0.975 0.678
12 Tm 0.704 0.025 0.322
13 Si 0.500 0.383 0.883
14 Si 0.500 0.617 0.117
15 Si 0.631 0.000 0.631
16 Si 0.369 0.000 0.369
17 Sb 0.000 0.500 0.500
18 Sb 0.000 0.000 0.000

Crystal system: orthorhombic
Formation energy from raw total energies in meV per atom: -616
VASP energy in eV per atom: -5.26

---

Zr4TlBr8 | PBE | relaxed

Unit cell a=3.508 b=10.020 c=10.266 alpha=84.95 beta=80.16 gamma=79.92
Atoms (fractional coordinates):
1 Zr 0.339 0.873 0.448
2 Zr 0.827 0.509 0.838
3 Zr 0.205 0.495 0.096
4 Zr 0.692 0.130 0.485
5 Tl 0.516 0.002 0.967
6 Br 0.166 0.315 0.353
7 Br 0.554 0.653 0.239
8 Br 0.478 0.350 0.695
9 Br 0.865 0.688 0.581
10 Br 0.875 0.988 0.263
11 Br 0.191 0.708 0.910
12 Br 0.157 0.016 0.671
13 Br 0.840 0.296 0.024

Crystal system: monoclinic
Formation energy from raw total energies in meV per atom: -1059
VASP energy in eV per atom: -4.90

---

KScBi2 | PBE | relaxed

Unit cell a=5.539 b=5.539 c=5.539 alpha=60.00 beta=60.00 gamma=60.00
Atoms (fractional coordinates):
1 Sc 0.500 0.500 0.500
2 K 0.000 0.000 0.000
3 Bi 0.250 0.250 0.250
4 Bi 0.750 0.750 0.750

Crystal system: cubic
Energy of formation from the pure elements in eV per atom: -0.206
VASP energy in eV per atom: -4.00

---

Sb2TeRu | PBE | relaxed

Unit cell a=5.107 b=4.254 c=4.254 alpha=90.00 beta=90.00 gamma=90.00
Atoms (fractional coordinates):
1 Ru 0.500 0.000 0.500
2 Sb 0.000 0.000 0.000
3 Sb 0.000 0.500 0.500
4 Te 0.500 0.500 0.000

Crystal system: tetragonal
Formation energy from raw total energies in meV per atom: 615
VASP energy in eV per atom: -4.55

---

Listing ρ for the structures above in their given order: 8.8, 5.7, 6.9, 8.5 Mg/m³.
Listing D(E_F) for the structures above in their given order: 0.7107, 0.3038, 1.5403, 1.0201 states/eV per atom.